a.
! TaInS (PBE-GGA, optimized geometry); values from VASP
! Total magnetization = 0.00 μB/atom
! Fermi-level density of states = 0.6 states/eV/cell
&SYSTEM
  ibrav = 0, nat = 3, ntyp = 3
/
ATOMIC_SPECIES
Ta 180.95 Ta.upf
S 32.06 S.upf
In 114.82 In.upf
CELL_PARAMETERS angstrom
-1.9829 2.5668 -0.2026
-1.0519 -2.7635 1.3483
2.0685 2.0585 5.8332
ATOMIC_POSITIONS angstrom
Ta -1.3256 -0.9503 0.9346
S 1.6124 1.6045 4.5468
In 0.7682 0.7645 2.1663

***

b.
! TaInS (PBE-GGA, optimized geometry); values from VASP
! Total magnetization = 0.00 μB/atom
! Fermi-level density of states = 1.6 states/eV/cell
&SYSTEM
  ibrav = 0, nat = 6, ntyp = 3
/
ATOMIC_SPECIES
In 114.82 In.upf
Ta 180.95 Ta.upf
S 32.06 S.upf
CELL_PARAMETERS angstrom
3.2498 0.0004 -0.0002
-0.7989 5.2854 -0.0153
-0.3905 -1.1209 7.3906
ATOMIC_POSITIONS angstrom
In -0.0613 2.5595 1.3673
In 2.1217 1.6054 6.0078
Ta 1.5039 3.4490 3.7690
Ta 0.5564 0.7159 3.6061
S 2.1511 -0.1498 1.9351
S -0.0909 4.3147 5.4401

***

Most favorable first, least favorable last: a, b

***

a.
! Tb3InS (PBE-GGA, optimized geometry); values from VASP
! Total magnetization = 0.00 μB/atom
! Fermi-level density of states = 3.7 states/eV/cell
&SYSTEM
  ibrav = 0, nat = 5, ntyp = 3
/
ATOMIC_SPECIES
Tb 158.93 Tb.upf
S 32.06 S.upf
In 114.82 In.upf
CELL_PARAMETERS angstrom
5.1901 0.0000 0.0000
0.0000 5.1901 0.0000
0.0000 0.0000 5.1901
ATOMIC_POSITIONS angstrom
Tb 0.0000 2.5951 0.0000
Tb 0.0000 0.0000 2.5951
Tb 2.5951 0.0000 0.0000
S 0.0000 0.0000 0.0000
In 2.5951 2.5951 2.5951

***

b.
! Tb3InS (PBE-GGA, optimized geometry); values from VASP
! Total magnetization = 0.13 μB/atom
! Fermi-level density of states = 13.8 states/eV/cell
&SYSTEM
  ibrav = 0, nat = 20, ntyp = 3
/
ATOMIC_SPECIES
Tb 158.93 Tb.upf
In 114.82 In.upf
S 32.06 S.upf
CELL_PARAMETERS angstrom
-0.8200 -0.6716 -3.7964
2.6427 -8.5892 0.9488
-13.9438 -3.8816 3.6984
ATOMIC_POSITIONS angstrom
Tb -12.2514 -9.7264 3.3438
Tb -8.0869 -9.7409 2.4469
Tb -6.8786 -3.5683 1.0939
Tb -7.9039 -6.9082 -0.1399
Tb -4.2172 -6.2343 0.9907
Tb -10.3778 -5.7162 2.2297
Tb -1.7433 -7.4263 -1.3789
Tb -1.6807 -0.8657 -0.5069
Tb -10.4405 -12.2767 1.3577
Tb -4.0342 -3.4016 -1.5961
Tb -5.2425 -9.5741 -0.2431
Tb 0.1303 -3.4160 -2.4930
In -2.3203 -9.4320 1.1467
In -9.8008 -3.7105 -0.2960
In -10.6554 -8.6108 0.7556
In -1.4658 -4.5316 0.0952
S 0.8510 -7.9482 -1.8469
S -6.1978 -7.9708 1.7257
S -12.9721 -5.1942 2.6977
S -5.9233 -5.1716 -0.8749

***

Most favorable first, least favorable last: b, a

***

a.
! TbInS3 (PBE-GGA, optimized geometry); values from VASP
! Total magnetization = 0.00 μB/atom
! Fermi-level density of states = 0.0 states/eV/cell
&SYSTEM
  ibrav = 0, nat = 10, ntyp = 3
/
ATOMIC_SPECIES
In 114.82 In.upf
S 32.06 S.upf
Tb 158.93 Tb.upf
CELL_PARAMETERS angstrom
6.8136 -0.0001 0.0008
3.4068 5.9002 0.0009
3.4075 1.9671 6.0549
ATOMIC_POSITIONS angstrom
In 10.2204 5.9004 2.7206
In 3.4075 1.9669 3.3360
S 5.7288 1.7531 4.5076
S 7.8991 6.1141 1.5490
S 9.2460 4.0842 4.5085
S 5.4681 5.9640 4.5077
S 4.3819 3.7830 1.5481
S 8.1598 1.9032 1.5488
Tb 6.8136 3.9334 0.3472
Tb 6.8143 3.9339 5.7094

***

b.
! TbInS3 (PBE-GGA, optimized geometry); values from VASP
! Total magnetization = 0.00 μB/atom
! Fermi-level density of states = 0.0 states/eV/cell
&SYSTEM
  ibrav = 0, nat = 10, ntyp = 3
/
ATOMIC_SPECIES
S 32.06 S.upf
Tb 158.93 Tb.upf
In 114.82 In.upf
CELL_PARAMETERS angstrom
-1.3390 -3.6092 1.2912
0.6771 -2.5339 -6.3809
9.0188 -1.9576 3.8806
ATOMIC_POSITIONS angstrom
S 5.2296 -5.3610 0.0142
S 8.8980 -4.7496 -0.8568
S 3.5033 -4.0292 -4.4375
S 4.8536 -4.0716 3.2284
S 3.1272 -2.7398 -1.2234
S -0.5411 -3.3512 -0.3524
Tb 3.3420 -5.3634 -1.9501
Tb 5.0149 -2.7374 0.7410
In 7.2934 -6.6131 -1.3456
In 1.0635 -1.4877 0.1365

***

Most favorable first, least favorable last: b, a

***

a.
! In3TcS (PBE-GGA, optimized geometry); values from VASP
! Total magnetization = 0.63 μB/atom
! Fermi-level density of states = 6.0 states/eV/cell
&SYSTEM
  ibrav = 0, nat = 5, ntyp = 3
/
ATOMIC_SPECIES
S 32.06 S.upf
Tc 98.00 Tc.upf
In 114.82 In.upf
CELL_PARAMETERS angstrom
-3.8065 -0.1844 3.4895
3.0548 -2.6809 3.1908
1.6966 4.4135 2.0839
ATOMIC_POSITIONS angstrom
S 0.0000 0.0000 0.0000
Tc 0.4724 0.7741 4.3821
In 0.8483 2.2068 1.0420
In -1.9033 -0.0922 1.7447
In 1.5274 -1.3404 1.5954

***

b.
! In3TcS (PBE-GGA, optimized geometry); values from VASP
! Total magnetization = 0.33 μB/atom
! Fermi-level density of states = 9.9 states/eV/cell
&SYSTEM
  ibrav = 0, nat = 5, ntyp = 3
/
ATOMIC_SPECIES
In 114.82 In.upf
Tc 98.00 Tc.upf
S 32.06 S.upf
CELL_PARAMETERS angstrom
5.2151 0.0000 0.0000
0.0000 5.2151 0.0000
0.0000 0.0000 5.2151
ATOMIC_POSITIONS angstrom
In 0.0000 2.6075 0.0000
In 0.0000 0.0000 2.6075
In 2.6075 0.0000 0.0000
Tc 0.0000 0.0000 0.0000
S 2.6075 2.6075 2.6075

***

Most favorable first, least favorable last: b, a

***

a.
! InTeS2 (PBE-GGA, optimized geometry); values from VASP
! Total magnetization = 0.00 μB/atom
! Fermi-level density of states = 2.4 states/eV/cell
&SYSTEM
  ibrav = 0, nat = 4, ntyp = 3
/
ATOMIC_SPECIES
S 32.06 S.upf
Te 127.60 Te.upf
In 114.82 In.upf
CELL_PARAMETERS angstrom
8.4464 3.4828 2.2639
9.2043 -0.3023 1.9459
9.1316 1.9307 -1.2181
ATOMIC_POSITIONS angstrom
S 2.9719 0.5672 0.3320
S 23.8104 4.5441 2.6597
Te 13.3911 2.5557 1.4958
In 0.0000 0.0000 0.0000

***

b.
! InTeS2 (PBE-GGA, optimized geometry); values from VASP
! Total magnetization = 0.00 μB/atom
! Fermi-level density of states = 1.5 states/eV/cell
&SYSTEM
  ibrav = 0, nat = 4, ntyp = 3
/
ATOMIC_SPECIES
S 32.06 S.upf
Te 127.60 Te.upf
In 114.82 In.upf
CELL_PARAMETERS angstrom
2.2181 0.0000 8.1663
-1.1090 1.9209 8.1663
-1.1090 -1.9209 8.1663
ATOMIC_POSITIONS angstrom
S 0.0000 0.0000 21.8587
S 0.0000 0.0000 2.6401
Te 0.0000 0.0000 0.0000
In 0.0000 0.0000 12.2494

***

c.
! InTeS2 (PBE-GGA, optimized geometry); values from VASP
! Total magnetization = 0.00 μB/atom
! Fermi-level density of states = 2.6 states/eV/cell
&SYSTEM
  ibrav = 0, nat = 4, ntyp = 3
/
ATOMIC_SPECIES
Te 127.60 Te.upf
S 32.06 S.upf
In 114.82 In.upf
CELL_PARAMETERS angstrom
-2.2084 -2.9250 3.3109
0.5679 0.8675 4.8290
-3.7913 1.7088 2.6647
ATOMIC_POSITIONS angstrom
Te -2.7159 -0.1744 5.4023
S -4.0739 -0.2615 8.1035
S -1.3580 -0.0872 2.7012
In 0.0000 0.0000 0.0000

***

Most favorable first, least favorable last: b, a, c

***

a.
! Ti2InS (PBE-GGA, optimized geometry); values from VASP
! Total magnetization = 0.24 μB/atom
! Fermi-level density of states = 7.1 states/eV/cell
&SYSTEM
  ibrav = 0, nat = 4, ntyp = 3
/
ATOMIC_SPECIES
Ti 47.87 Ti.upf
In 114.82 In.upf
S 32.06 S.upf
CELL_PARAMETERS angstrom
-4.1078 -1.0797 1.8263
-3.3732 -1.6389 -2.7039
-1.2879 -4.4275 0.3376
ATOMIC_POSITIONS angstrom
Ti -6.5767 -5.3596 -0.4050
Ti -2.1922 -1.7865 -0.1350
In -4.3845 -3.5731 -0.2700
S 0.0000 0.0000 0.0000

***

b.
! Ti2InS (PBE-GGA, optimized geometry); values from VASP
! Total magnetization = 0.16 μB/atom
! Fermi-level density of states = 7.8 states/eV/cell
&SYSTEM
  ibrav = 0, nat = 8, ntyp = 3
/
ATOMIC_SPECIES
Ti 47.87 Ti.upf
S 32.06 S.upf
In 114.82 In.upf
CELL_PARAMETERS angstrom
-3.6383 -0.1767 -3.9646
-1.8674 -4.6697 1.9219
-7.1324 0.9209 2.8486
ATOMIC_POSITIONS angstrom
Ti -9.9883 -3.1036 0.1653
Ti -7.5924 -1.5731 1.5541
Ti -3.7528 -2.7273 1.0388
Ti -3.9427 -0.4471 -1.1466
S -5.8763 -3.0860 1.8745
S -2.7529 -2.4232 -1.0214
In 0.0000 0.0000 0.0000
In -6.7618 -0.8395 -1.0687

***

Most favorable first, least favorable last: a, b

***

a.
! TlInS4 (PBE-GGA, optimized geometry); values from VASP
! Total magnetization = 0.00 μB/atom
! Fermi-level density of states = 7.6 states/eV/cell
&SYSTEM
  ibrav = 0, nat = 12, ntyp = 3
/
ATOMIC_SPECIES
Tl 204.38 Tl.upf
S 32.06 S.upf
In 114.82 In.upf
CELL_PARAMETERS angstrom
3.8836 0.0000 0.0000
0.0000 6.8454 0.1632
0.0000 0.0646 9.8385
ATOMIC_POSITIONS angstrom
Tl 0.0000 0.0000 0.0000
Tl 1.9418 3.4550 5.0009
S 1.9420 1.2987 8.3279
S 0.0001 4.6307 8.5578
S 1.9419 5.7344 6.4447
S 3.8834 4.6891 3.4902
S 1.9416 5.6113 1.6738
S 1.9417 1.1757 3.5570
S 0.0002 2.2209 6.5115
S 3.8836 2.2793 1.4439
In 1.9418 3.4227 0.0816
In 0.0000 0.0323 4.9193

***

b.
! TlInS4 (PBE-GGA, optimized geometry); values from VASP
! Total magnetization = 0.00 μB/atom
&SYSTEM
  ibrav = 0, nat = 12, ntyp = 3
/
ATOMIC_SPECIES
In 114.82 In.upf
S 32.06 S.upf
Tl 204.38 Tl.upf
CELL_PARAMETERS angstrom
4.9818 0.0000 2.3342
-1.0937 4.8603 2.3342
-3.6346 -4.5434 14.2408
ATOMIC_POSITIONS angstrom
In 1.2480 3.1169 7.0615
In -0.9945 -2.8000 11.8477
S 1.2733 -0.4996 2.7110
S -1.4655 1.2910 11.7789
S 1.5731 -3.2385 15.0379
S -1.0197 0.8166 16.1981
S -0.2713 -0.3483 11.3783
S 0.5249 0.6653 7.5309
S -1.3195 3.5555 3.8712
S 1.7191 -0.9740 7.1303
Tl 0.9496 -0.3698 14.1818
Tl -0.6960 0.6868 4.7273

***

Most favorable first, least favorable last: b, a

***

a.
! Tl3InS3 (PBE-GGA, optimized geometry); values from VASP
! Total magnetization = 0.00 μB/atom
&SYSTEM
  ibrav = 0, nat = 14, ntyp = 3
/
ATOMIC_SPECIES
In 114.82 In.upf
S 32.06 S.upf
Tl 204.38 Tl.upf
CELL_PARAMETERS angstrom
6.6410 0.0000 0.0000
0.0000 8.9852 0.0023
0.0000 -4.4752 7.7912
ATOMIC_POSITIONS angstrom
In 1.6602 4.5013 2.5970
In 4.9807 0.0087 5.1965
S 4.9807 0.0041 2.7798
S 4.9807 2.1041 6.4007
S 4.9807 -2.0822 6.4092
S 1.6602 2.4059 1.3928
S 1.6602 6.5922 1.3844
S 1.6602 4.5058 5.0137
Tl 1.6602 1.8247 6.2394
Tl 4.9807 2.6852 1.5542
Tl 1.6602 -1.7983 6.2460
Tl 4.9807 6.3082 1.5476
Tl 4.9807 4.5071 4.6911
Tl 1.6602 0.0029 3.1025

***

b.
! Tl3InS3 (PBE-GGA, optimized geometry); values from VASP
! Total magnetization = 0.00 μB/atom
&SYSTEM
  ibrav = 0, nat = 28, ntyp = 3
/
ATOMIC_SPECIES
In 114.82 In.upf
Tl 204.38 Tl.upf
S 32.06 S.upf
CELL_PARAMETERS angstrom
-0.0803 -3.0707 -7.8024
4.0319 -6.6575 2.5786
-11.4394 -5.5331 2.2953
ATOMIC_POSITIONS angstrom
In -0.2267 -3.2315 -3.5456
In -5.9810 -7.3195 -5.7557
In -1.5069 -7.9418 2.8272
In -7.2612 -12.0298 0.6172
Tl -3.3140 -5.4447 -0.8018
Tl -4.1739 -9.8166 -2.1267
Tl -7.1050 -5.4397 -1.8286
Tl -2.5429 -6.3475 -4.0155
Tl -0.3829 -9.8216 -1.0998
Tl -8.2665 -9.2633 -3.2471
Tl 0.7786 -5.9980 0.3186
Tl 1.5329 -7.5447 -4.5311
Tl -9.0207 -7.7166 1.6026
Tl -6.1345 -13.8078 -3.0512
Tl -4.9450 -8.9138 1.0870
Tl -1.3533 -1.4535 0.1227
S -3.6128 -12.2055 -3.9560
S -3.8750 -3.0557 1.0275
S -6.3017 -6.3298 0.8072
S -9.6311 -7.2111 -1.3538
S 2.1432 -8.0502 -1.5747
S 0.0206 -5.0296 -5.1948
S -1.7961 -7.7481 0.3997
S -1.1861 -8.9315 -3.7357
S -7.5084 -10.2316 2.2663
S -6.8968 -11.3545 -1.7150
S -5.6917 -7.5132 -3.3281
S -0.5910 -3.9068 -1.2135

***

Most favorable first, least favorable last: b, a

***

a.
! Tl2InS2 (PBE-GGA, optimized geometry); values from VASP
! Total magnetization = 0.00 μB/atom
! Fermi-level density of states = 1.0 states/eV/cell
&SYSTEM
  ibrav = 0, nat = 5, ntyp = 3
/
ATOMIC_SPECIES
In 114.82 In.upf
Tl 204.38 Tl.upf
S 32.06 S.upf
CELL_PARAMETERS angstrom
5.3843 0.0000 0.0000
0.0000 5.3843 0.0000
2.6921 2.6921 4.8827
ATOMIC_POSITIONS angstrom
In 0.0000 0.0000 0.0000
Tl 5.3843 5.3843 3.3782
Tl 2.6921 2.6921 1.5046
S 2.6921 5.3843 2.4414
S 5.3843 2.6921 2.4414

***

b.
! Tl2InS2 (PBE-GGA, optimized geometry); values from VASP
! Total magnetization = 0.00 μB/atom
! Fermi-level density of states = 5.1 states/eV/cell
&SYSTEM
  ibrav = 0, nat = 10, ntyp = 3
/
ATOMIC_SPECIES
S 32.06 S.upf
Tl 204.38 Tl.upf
In 114.82 In.upf
CELL_PARAMETERS angstrom
7.5557 0.0000 0.0000
0.0000 7.5557 0.0000
0.0000 0.0000 4.8582
ATOMIC_POSITIONS angstrom
S 5.1897 1.4119 0.0000
S 2.3660 6.1438 0.0000
S 6.1438 5.1897 0.0000
S 1.4119 2.3660 0.0000
Tl 4.8800 6.4536 2.4291
Tl 2.6757 1.1021 2.4291
Tl 1.1021 4.8800 2.4291
Tl 6.4536 2.6757 2.4291
In 0.0000 0.0000 0.0000
In 3.7779 3.7779 0.0000

***

Most favorable first, least favorable last: b, a

***

a.
! Tm3InS (PBE-GGA, optimized geometry); values from VASP
! Total magnetization = 0.00 μB/atom
! Fermi-level density of states = 3.4 states/eV/cell
&SYSTEM
  ibrav = 0, nat = 5, ntyp = 3
/
ATOMIC_SPECIES
Tm 168.93 Tm.upf
In 114.82 In.upf
S 32.06 S.upf
CELL_PARAMETERS angstrom
-3.9565 0.2862 3.1621
1.3642 -4.4090 2.1059
2.8671 2.4928 3.3617
ATOMIC_POSITIONS angstrom
Tm -1.9783 0.1431 1.5811
Tm 1.4335 1.2464 1.6809
Tm 0.6821 -2.2045 1.0530
In 0.1374 -0.8150 4.3149
S 0.0000 0.0000 0.0000

***

b.
! Tm3InS (PBE-GGA, optimized geometry); values from VASP
! Total magnetization = 0.07 μB/atom
! Fermi-level density of states = 16.3 states/eV/cell
&SYSTEM
  ibrav = 0, nat = 20, ntyp = 3
/
ATOMIC_SPECIES
S 32.06 S.upf
Tm 168.93 Tm.upf
In 114.82 In.upf
CELL_PARAMETERS angstrom
3.8441 0.0000 0.0000
0.0000 8.9083 0.0000
0.0000 0.0000 14.5856
ATOMIC_POSITIONS angstrom
S 2.8831 7.5199 0.8073
S 0.9610 5.8426 8.1001
S 0.9610 1.3885 13.7783
S 2.8831 3.0657 6.4855
Tm 2.8831 8.6030 12.9391
Tm 0.9610 6.9958 10.4752
Tm 0.9610 0.3053 1.6465
Tm 0.9610 5.9349 14.4473
Tm 0.9610 1.4807 7.4310
Tm 2.8831 4.1488 8.9393
Tm 0.9610 2.5417 11.4031
Tm 2.8831 6.3667 3.1824
Tm 0.9610 4.7595 5.6463
Tm 2.8831 7.4277 7.1545
Tm 2.8831 2.9735 0.1383
Tm 2.8831 1.9125 4.1104
In 0.9610 8.3599 4.8038
In 2.8831 5.0026 12.0966
In 2.8831 0.5485 9.7817
In 0.9610 3.9057 2.4890

***

Most favorable first, least favorable last: b, a

***

a.
! TmIn2S4 (PBE-GGA, optimized geometry); values from VASP
! Total magnetization = 0.00 μB/atom
! Fermi-level density of states = 3.8 states/eV/cell
&SYSTEM
  ibrav = 0, nat = 7, ntyp = 3
/
ATOMIC_SPECIES
In 114.82 In.upf
S 32.06 S.upf
Tm 168.93 Tm.upf
CELL_PARAMETERS angstrom
4.1077 -0.0246 -0.0026
-2.0195 6.0806 -1.6412
0.0058 0.1252 7.2176
ATOMIC_POSITIONS angstrom
In 0.0290 4.5359 1.9254
In 2.0649 1.6453 3.6485
S 0.0112 1.8154 2.0782
S 0.0272 4.7053 -0.5466
S 2.0827 4.3659 3.4957
S 2.0667 1.4759 6.1204
Tm 0.0000 0.0000 0.0000

***

b.
! TmIn2S4 (PBE-GGA, optimized geometry); values from VASP
! Total magnetization = 0.00 μB/atom
! Fermi-level density of states = 4.2 states/eV/cell
&SYSTEM
  ibrav = 0, nat = 14, ntyp = 3
/
ATOMIC_SPECIES
S 32.06 S.upf
In 114.82 In.upf
Tm 168.93 Tm.upf
CELL_PARAMETERS angstrom
-1.2651 -3.5837 -7.1177
6.0858 -3.0251 -4.1320
0.9697 -7.8547 -0.7910
ATOMIC_POSITIONS angstrom
S 1.4003 -9.3222 -6.7922
S 1.4682 -3.4924 -3.0760
S 0.9499 -5.3844 -6.6047
S 4.3222 -10.9711 -8.9647
S 4.8405 -9.0790 -5.4360
S 3.8120 -6.7790 -8.5013
S 4.3901 -5.1413 -5.2485
S 1.9784 -7.6844 -3.5394
In 1.2809 -5.7986 -1.8815
In 2.8952 -7.2317 -6.0203
In -0.6325 -1.7919 -3.5588
In 4.5095 -8.6648 -10.1592
Tm 2.4104 -3.3044 -5.6248
Tm 3.0429 -1.5125 -2.0660

***

Most favorable first, least favorable last: b, a